No. 1
Entry from Alexandria via LeMat-Bulk: an optimized crystal structure of HfScCo (GGA-PBE).

a = 4.3118 Å, b = 4.9089 Å, c = 5.6353 Å
α = 105.58°, β = 90.00°, γ = 90.00°
Fractional coordinates of all 6 atoms:
Hf 0.7522 0.9555 0.8149
Hf 0.2523 0.0522 0.1884
Sc 0.7522 0.5834 0.2758
Sc 0.2523 0.4243 0.7274
Co 0.7522 0.1379 0.4293
Co 0.2523 0.8698 0.5740

- Formation enthalpy at 0 K: -184 meV/atom

---

No. 2
Entry from Alexandria via LeMat-Bulk: an optimized crystal structure of Hf3ScCo (GGA-PBE).

a = 4.8281 Å, b = 4.8281 Å, c = 4.8281 Å
α = 90.00°, β = 90.00°, γ = 90.00°
Fractional coordinates of all 5 atoms:
Sc 0.5000 0.5000 0.5000
Co 0.0000 0.0000 0.0000
Hf 0.0000 0.5000 0.0000
Hf 0.0000 0.0000 0.5000
Hf 0.5000 0.0000 0.0000

- Formation enthalpy at 0 K: 162 meV/atom

---

| no. | energy above the lowest structure with this stoichiometry (meV/atom) | final energy (Ry per atom) |
| --- | --- | --- |
| 1 | 95 | -0.58655 |
| 2 | 222 | -0.62457 |